Pr4PtI2Br: optimized geometry, PBE-GGA.

Output
N(E_F) in states/eV per atom: 0.73
Symmetry: No. 10
Energy in hartree per atom: -0.175
Uncorrected formation energy in eV/f.u.: -8.20

```
Pr4PtI2Br
1.0
7.639 0.000 0.000
0.000 4.293 0.000
-2.498 0.000 7.862
Pr Pt I Br
4 1 2 1
Direct
0.209 0.000 0.199 Pr
0.248 0.500 0.790 Pr
0.752 0.500 0.210 Pr
0.791 0.000 0.801 Pr
0.000 0.500 0.000 Pt
0.000 0.000 0.500 I
0.500 0.500 0.500 I
0.500 0.000 0.000 Br
```